Entry 1:
Density functional theory data (PBE) for a geometry-optimized CdCuTe2N structure.

Energy above the most stable polymorph in this dataset   0 meV per atom
Calculated volume   110 Å³/f.u.

Lattice parameters (Å, degrees): 5.587 5.587 3.536 90.00 90.00 90.00
Element x y z (fractional)
Cd: 0.000 0.000 0.000
Cu: 0.500 0.500 0.500
Te: 0.000 0.500 0.500
Te: 0.500 0.000 0.500
N: 0.500 0.500 0.000



Entry 2:
Density functional theory data (PBE) for a geometry-optimized CdCuTe2N structure.

Energy above the most stable polymorph in this dataset   713 meV per atom
Calculated volume   130 Å³/f.u.

Lattice parameters (Å, degrees): 5.717 5.717 3.963 90.00 90.00 90.00
Element x y z (fractional)
Cd: 0.000 0.000 0.000
Cu: 0.500 0.500 0.500
Te: 0.000 0.500 0.000
Te: 0.500 0.000 0.000
N: 0.000 0.000 0.500



Entry 3:
Density functional theory data (PBE) for a geometry-optimized VCd2CuN structure.

Calculated volume   103 Å³/f.u.
Final energy   -4.0318 eV per atom

Lattice parameters (Å, degrees): 5.338 5.338 3.611 90.00 90.00 90.00
Element x y z (fractional)
V: 0.000 0.000 0.000
Cd: 0.000 0.500 0.000
Cd: 0.500 0.000 0.000
Cu: 0.500 0.500 0.500
N: 0.000 0.000 0.500



Entry 4:
Density functional theory data (PBE) for a geometry-optimized Y2CdCuN structure.

Calculated volume   96 Å³/f.u.
Final energy   -5.8213 eV per atom

Lattice parameters (Å, degrees): 4.910 4.910 3.971 90.00 90.00 90.00
Element x y z (fractional)
Y: 0.000 0.500 0.000
Y: 0.500 0.000 0.000
Cd: 0.000 0.000 0.500
Cu: 0.500 0.500 0.500
N: 0.500 0.500 0.000



Entry 5:
Density functional theory data (PBE) for a geometry-optimized YCdCu2N structure.

Calculated volume   177 Å³/f.u.
Final energy   -2.8592 eV per atom

Lattice parameters (Å, degrees): 5.328 5.328 6.239 90.00 90.00 90.00
Element x y z (fractional)
Y: 0.000 0.000 0.000
Cd: 0.000 0.000 0.500
Cu: 0.000 0.500 0.000
Cu: 0.500 0.000 0.000
N: 0.500 0.500 0.500



Entry 6:
Density functional theory data (PBE) for a geometry-optimized Na3CdCu structure.

Energy above the most stable polymorph in this dataset   265 meV per atom
Calculated formation energy   0.540 eV per atom
Calculated volume   185 Å³/f.u.

Lattice parameters (Å, degrees): 5.702 5.702 5.702 90.00 90.00 90.00
Element x y z (fractional)
Na: 0.000 0.000 0.500
Na: 0.000 0.500 0.000
Na: 0.500 0.000 0.000
Cd: 0.000 0.000 0.000
Cu: 0.500 0.500 0.500



Entry 7:
Density functional theory data (PBE) for a geometry-optimized Na2CdCu2 structure.

Energy above the most stable polymorph in this dataset   230 meV per atom
Calculated formation energy   0.374 eV per atom
Calculated volume   107 Å³/f.u.

Lattice parameters (Å, degrees): 4.090 4.090 12.844 90.00 90.00 90.00
Element x y z (fractional)
Na: 0.000 0.500 0.250
Na: 0.000 0.500 0.750
Na: 0.500 0.000 0.250
Na: 0.500 0.000 0.750
Cd: 0.000 0.000 0.000
Cd: 0.500 0.500 0.500
Cu: 0.000 0.000 0.411
Cu: 0.000 0.000 0.589
Cu: 0.500 0.500 0.089
Cu: 0.500 0.500 0.911



Entry 8:
Density functional theory data (PBE) for a geometry-optimized NaCd3Cu structure.

Energy above the most stable polymorph in this dataset   0 meV per atom
Calculated formation energy   -0.004 eV per atom
Calculated volume   117 Å³/f.u.

Lattice parameters (Å, degrees): 7.052 7.052 7.419 121.17 121.17 50.47
Element x y z (fractional)
Na: 0.000 0.000 0.000
Na: 0.000 0.000 0.500
Cd: 0.000 0.500 0.000
Cd: 0.000 0.500 0.500
Cd: 0.499 0.499 0.810
Cd: 0.500 0.000 0.000
Cd: 0.500 0.000 0.500
Cd: 0.501 0.501 0.190
Cu: 0.374 0.374 0.373
Cu: 0.626 0.626 0.627



Entry 9:
Density functional theory data (PBE) for a geometry-optimized NaCd2Cu structure.

Calculated formation energy   0.103 eV per atom
Calculated volume   84 Å³/f.u.

Lattice parameters (Å, degrees): 3.155 3.155 29.159 90.00 90.00 120.00
Element x y z (fractional)
Na: 0.000 0.000 0.000
Na: 0.333 0.667 0.667
Na: 0.667 0.333 0.333
Cd: 0.000 0.000 0.238
Cd: 0.000 0.000 0.762
Cd: 0.333 0.667 0.429
Cd: 0.333 0.667 0.905
Cd: 0.667 0.333 0.095
Cd: 0.667 0.333 0.571
Cu: 0.000 0.000 0.500
Cu: 0.333 0.667 0.167
Cu: 0.667 0.333 0.833



Entry 10:
Density functional theory data (PBE) for a geometry-optimized NaCd9Cu2 structure.

Calculated formation energy   -0.005 eV per atom
Calculated volume   263 Å³/f.u.

Lattice parameters (Å, degrees): 9.158 9.158 9.158 99.82 99.82 131.21
Element x y z (fractional)
Na: 0.375 0.625 0.750
Na: 0.625 0.375 0.250
Cd: 0.125 0.875 0.250
Cd: 0.131 0.562 0.328
Cd: 0.131 0.803 0.569
Cd: 0.197 0.266 0.328
Cd: 0.197 0.869 0.931
Cd: 0.266 0.197 0.828
Cd: 0.266 0.438 0.069
Cd: 0.438 0.266 0.569
Cd: 0.438 0.869 0.172
Cd: 0.562 0.131 0.828
Cd: 0.562 0.734 0.431
Cd: 0.734 0.562 0.931
Cd: 0.734 0.803 0.172
Cd: 0.803 0.131 0.069
Cd: 0.803 0.734 0.672
Cd: 0.869 0.197 0.431
Cd: 0.869 0.438 0.672
Cd: 0.875 0.125 0.750
Cu: 0.000 0.000 0.000
Cu: 0.000 0.000 0.500
Cu: 0.000 0.500 0.000
Cu: 0.500 0.000 0.500



Entry 11:
Density functional theory data (PBE) for a geometry-optimized Na2CdCu2 structure.

Energy above the most stable polymorph in this dataset   0 meV per atom
Calculated formation energy   0.144 eV per atom
Calculated volume   112 Å³/f.u.

Lattice parameters (Å, degrees): 3.356 3.356 19.931 90.00 90.00 90.00
Element x y z (fractional)
Na: 0.000 0.000 0.124
Na: 0.000 0.000 0.876
Na: 0.500 0.500 0.376
Na: 0.500 0.500 0.624
Cd: 0.000 0.000 0.500
Cd: 0.500 0.500 0.000
Cu: 0.000 0.500 0.250
Cu: 0.000 0.500 0.750
Cu: 0.500 0.000 0.250
Cu: 0.500 0.000 0.750



Entry 12:
Density functional theory data (PBE) for a geometry-optimized Na2CdCu structure.

Calculated formation energy   0.151 eV per atom
Calculated volume   88 Å³/f.u.

Lattice parameters (Å, degrees): 4.219 4.219 4.922 90.00 90.00 90.00
Element x y z (fractional)
Na: 0.000 0.500 0.000
Na: 0.500 0.000 0.000
Cd: 0.000 0.000 0.500
Cu: 0.500 0.500 0.500



Entry 13:
Density functional theory data (PBE) for a geometry-optimized Na12Cd6Cu structure.

Calculated formation energy   -0.042 eV per atom
Calculated volume   532 Å³/f.u.

Lattice parameters (Å, degrees): 8.117 8.117 8.117 86.72 86.72 86.72
Element x y z (fractional)
Na: 0.027 0.308 0.929
Na: 0.071 0.973 0.692
Na: 0.127 0.352 0.470
Na: 0.308 0.929 0.027
Na: 0.352 0.470 0.127
Na: 0.470 0.127 0.352
Na: 0.530 0.873 0.648
Na: 0.648 0.530 0.873
Na: 0.692 0.071 0.973
Na: 0.873 0.648 0.530
Na: 0.929 0.027 0.308
Na: 0.973 0.692 0.071
Cd: 0.251 0.603 0.748
Cd: 0.252 0.749 0.397
Cd: 0.397 0.252 0.749
Cd: 0.603 0.748 0.251
Cd: 0.748 0.251 0.603
Cd: 0.749 0.397 0.252
Cu: 0.500 0.500 0.500



Entry 14:
Density functional theory data (PBE) for a geometry-optimized Na2Cd2Cu structure.

Energy above the most stable polymorph in this dataset   0 meV per atom
Calculated formation energy   0.059 eV per atom
Calculated volume   125 Å³/f.u.

Lattice parameters (Å, degrees): 6.966 6.966 5.163 90.00 90.00 90.00
Element x y z (fractional)
Na: 0.173 0.327 0.000
Na: 0.327 0.827 0.000
Na: 0.673 0.173 0.000
Na: 0.827 0.673 0.000
Cd: 0.149 0.649 0.500
Cd: 0.351 0.149 0.500
Cd: 0.649 0.851 0.500
Cd: 0.851 0.351 0.500
Cu: 0.000 0.000 0.500
Cu: 0.500 0.500 0.500



Entry 15:
Density functional theory data (PBE) for a geometry-optimized NaCd3Cu structure.

Energy above the most stable polymorph in this dataset   801 meV per atom
Calculated formation energy   0.797 eV per atom
Calculated volume   176 Å³/f.u.

Lattice parameters (Å, degrees): 5.608 5.608 5.608 90.00 90.00 90.00
Element x y z (fractional)
Na: 0.000 0.000 0.000
Cd: 0.000 0.000 0.500
Cd: 0.000 0.500 0.000
Cd: 0.500 0.000 0.000
Cu: 0.500 0.500 0.500



Entry 16:
Density functional theory data (PBE) for a geometry-optimized NaCd3Cu structure.

Energy above the most stable polymorph in this dataset   69 meV per atom
Calculated formation energy   0.065 eV per atom
Calculated volume   129 Å³/f.u.

Lattice parameters (Å, degrees): 5.059 5.059 5.059 90.00 90.00 90.00
Element x y z (fractional)
Na: 0.000 0.000 0.000
Cd: 0.000 0.500 0.500
Cd: 0.500 0.000 0.500
Cd: 0.500 0.500 0.000
Cu: 0.500 0.500 0.500



Entry 17:
Density functional theory data (PBE) for a geometry-optimized NaCd8Cu4 structure.

Calculated formation energy   -0.017 eV per atom
Calculated volume   250 Å³/f.u.

Lattice parameters (Å, degrees): 7.306 7.306 7.306 97.93 97.93 136.41
Element x y z (fractional)
Na: 0.000 0.000 0.000
Cd: 0.000 0.334 0.334
Cd: 0.000 0.666 0.666
Cd: 0.283 0.500 0.783
Cd: 0.334 0.000 0.334
Cd: 0.500 0.283 0.783
Cd: 0.500 0.717 0.217
Cd: 0.666 0.000 0.666
Cd: 0.717 0.500 0.217
Cu: 0.000 0.000 0.500
Cu: 0.000 0.500 0.000
Cu: 0.500 0.000 0.000
Cu: 0.500 0.500 0.500



Entry 18:
Density functional theory data (PBE) for a geometry-optimized Na3CdCu structure.

Energy above the most stable polymorph in this dataset   0 meV per atom
Calculated formation energy   0.275 eV per atom
Calculated volume   160 Å³/f.u.

Lattice parameters (Å, degrees): 5.427 5.427 5.427 90.00 90.00 90.00
Element x y z (fractional)
Na: 0.000 0.000 0.500
Na: 0.000 0.500 0.000
Na: 0.500 0.000 0.000
Cd: 0.500 0.500 0.500
Cu: 0.000 0.000 0.000



Entry 19:
Density functional theory data (PBE) for a geometry-optimized Na2CdCu2 structure.

Energy above the most stable polymorph in this dataset   11 meV per atom
Calculated formation energy   0.155 eV per atom
Calculated volume   106 Å³/f.u.

Lattice parameters (Å, degrees): 6.856 6.856 4.518 90.00 90.00 90.00
Element x y z (fractional)
Na: 0.174 0.326 0.000
Na: 0.326 0.826 0.000
Na: 0.674 0.174 0.000
Na: 0.826 0.674 0.000
Cd: 0.000 0.000 0.500
Cd: 0.500 0.500 0.500
Cu: 0.124 0.624 0.500
Cu: 0.376 0.124 0.500
Cu: 0.624 0.876 0.500
Cu: 0.876 0.376 0.500



Entry 20:
Density functional theory data (PBE) for a geometry-optimized NaCd2Cu structure.

Calculated formation energy   0.100 eV per atom
Calculated volume   80 Å³/f.u.

Lattice parameters (Å, degrees): 4.428 4.428 4.100 90.00 90.00 90.00
Element x y z (fractional)
Na: 0.000 0.000 0.000
Cd: 0.000 0.500 0.500
Cd: 0.500 0.000 0.500
Cu: 0.500 0.500 0.000